An optimized crystal structure of Nb2SeI3, computed with GGA-PBE.

Properties
- crystal system = monoclinic
- formation energy (no corrections) (kJ/mol of formula units) = -248

Unit cell a=3.637 b=11.257 c=10.646 alpha=105.02 beta=90.00 gamma=99.30
Atoms (fractional coordinates):
Nb 0.090 0.180 0.745
Nb 0.910 0.820 0.255
Nb 0.395 0.789 0.454
Nb 0.605 0.211 0.546
Se 0.510 0.020 0.650
Se 0.490 0.980 0.350
I 0.874 0.748 0.668
I 0.126 0.252 0.332
I 0.357 0.713 0.041
I 0.643 0.287 0.959
I 0.201 0.402 0.675
I 0.799 0.598 0.325

=====

An optimized crystal structure of ZrNiAgH2, computed with GGA-PBE.

Properties
- crystal system = tetragonal
- E_tot (eV/atom) = -4.244

Unit cell a=3.735 b=4.849 c=3.735 alpha=90.00 beta=90.00 gamma=90.00
Atoms (fractional coordinates):
Ni 0.000 0.000 0.000
Zr 0.500 0.500 0.500
Ag 0.000 0.500 0.000
H 0.000 0.000 0.500
H 0.500 0.000 0.000

=====

An optimized crystal structure of Ag2HgBr2, computed with GGA-PBE.

Properties
- crystal system = tetragonal
- formation energy (no corrections) (kJ/mol of formula units) = -103
- offset from the most stable computed form (meV per atom) = 0.0

Unit cell a=4.485 b=4.485 c=8.635 alpha=74.95 beta=74.95 gamma=90.00
Atoms (fractional coordinates):
Br 0.352 0.352 0.295
Br 0.648 0.648 0.705
Hg 0.000 0.000 0.000
Ag 0.750 0.250 0.500
Ag 0.250 0.750 0.500

=====

An optimized crystal structure of SrMgIn2, computed with GGA-PBE.

Properties
- crystal system = tetragonal
- calculated formation energy (meV per atom) = -44

Unit cell a=5.271 b=5.271 c=10.674 alpha=75.70 beta=75.70 gamma=90.00
Atoms (fractional coordinates):
Sr 0.000 0.000 0.000
Sr 0.750 0.250 0.500
Mg 0.500 0.500 0.000
Mg 0.250 0.750 0.500
In 0.503 0.125 0.250
In 0.247 0.625 0.250
In 0.375 0.497 0.750
In 0.875 0.753 0.750

=====

An optimized crystal structure of Sm2AsCl, computed with GGA-PBE.

Properties
- crystal system = trigonal
- formation energy (no corrections) (kJ/mol of formula units) = -567

Unit cell a=4.091 b=4.091 c=7.609 alpha=74.41 beta=74.41 gamma=60.00
Atoms (fractional coordinates):
Sm 0.073 0.073 0.781
Sm 0.260 0.260 0.219
As 0.668 0.668 0.995
Cl 0.498 0.498 0.505

=====

An optimized crystal structure of DyScS2, computed with GGA-PBE.

Properties
- crystal system = trigonal
- formation energy (no corrections) (kJ/mol of formula units) = -714
- offset from the most stable computed form (meV per atom) = 74.7

Unit cell a=3.674 b=3.674 c=6.772 alpha=90.00 beta=90.00 gamma=120.00
Atoms (fractional coordinates):
Dy 0.000 0.500 0.500
Sc 0.000 0.500 0.000
S 0.667 0.833 0.767
S 0.333 0.167 0.233

=====

An optimized crystal structure of ZrV2N, computed with GGA-PBE.

Properties
- crystal system = tetragonal
- formation energy (no corrections) (kJ/mol of formula units) = -34

Unit cell a=5.790 b=5.790 c=5.720 alpha=59.59 beta=59.59 gamma=90.00
Atoms (fractional coordinates):
V 0.453 0.125 0.250
V 0.297 0.625 0.250
V 0.375 0.547 0.750
V 0.875 0.703 0.750
Zr 0.000 0.000 0.000
Zr 0.750 0.250 0.500
N 0.500 0.500 0.000
N 0.250 0.750 0.500

=====

An optimized crystal structure of Ce2Sb2Pd, computed with GGA-PBE.

Properties
- crystal system = orthorhombic
- formation energy (no corrections) (kJ/mol of formula units) = -334

Unit cell a=4.153 b=7.356 c=8.604 alpha=90.00 beta=90.00 gamma=90.00
Atoms (fractional coordinates):
Ce 0.000 0.597 0.144
Ce 0.000 0.403 0.856
Ce 0.000 0.097 0.356
Ce 0.000 0.903 0.644
Sb 0.500 0.732 0.401
Sb 0.500 0.268 0.599
Sb 0.500 0.232 0.099
Sb 0.500 0.768 0.901
Pd 0.000 0.000 0.000
Pd 0.000 0.500 0.500

=====

An optimized crystal structure of CsInAu2, computed with GGA-PBE.

Properties
- crystal system = trigonal
- calculated formation energy (meV per atom) = -277

Unit cell a=4.899 b=4.899 c=7.108 alpha=69.84 beta=69.84 gamma=60.00
Atoms (fractional coordinates):
Cs 0.000 0.000 0.000
Au 0.818 0.818 0.547
Au 0.182 0.182 0.453
In 0.500 0.500 0.500

=====

An optimized crystal structure of Li2NbNiP, computed with GGA-PBE.

Properties
- crystal system = tetragonal
- calculated formation energy (meV per atom) = 311

Unit cell a=4.070 b=4.694 c=4.070 alpha=90.00 beta=90.00 gamma=90.00
Atoms (fractional coordinates):
Ni 0.000 0.000 0.000
Nb 0.000 0.500 0.000
Li 0.000 0.000 0.500
Li 0.500 0.000 0.000
P 0.500 0.500 0.500

=====

An optimized crystal structure of In4N2Cl, computed with GGA-PBE.

Properties
- crystal system = tetragonal
- formation energy (no corrections) (kJ/mol of formula units) = 171

Unit cell a=6.013 b=6.013 c=7.639 alpha=66.82 beta=66.82 gamma=90.00
Atoms (fractional coordinates):
N 0.547 0.547 0.907
N 0.453 0.453 0.093
Cl 0.000 0.000 0.000
In 0.743 0.743 0.514
In 0.257 0.257 0.486
In 0.000 0.500 0.000
In 0.500 0.000 0.000

=====

An optimized crystal structure of Sm2TmPaN4, computed with GGA-PBE.

Properties
- crystal system = monoclinic
- formation energy (no corrections) (kJ/mol of formula units) = -1272

Unit cell a=3.528 b=6.037 c=6.111 alpha=109.09 beta=90.00 gamma=90.00
Atoms (fractional coordinates):
Sm 0.500 0.000 0.500
Sm 0.000 0.500 0.500
Tm 0.500 0.500 0.000
Pa 0.000 0.000 0.000
N 0.500 0.238 0.226
N 0.500 0.762 0.774
N 0.000 0.248 0.774
N 0.000 0.752 0.226

=====

An optimized crystal structure of Tm3ZrIn4, computed with GGA-PBE.

Properties
- crystal system = orthorhombic
- calculated formation energy (meV per atom) = -359

Unit cell a=5.457 b=6.794 c=10.627 alpha=90.00 beta=90.00 gamma=90.00
Atoms (fractional coordinates):
Tm 0.000 0.000 0.000
Tm 0.000 0.000 0.500
Tm 0.604 0.000 0.750
Tm 0.396 0.000 0.250
Tm 0.617 0.500 0.750
Tm 0.383 0.500 0.250
Zr 0.000 0.500 0.000
Zr 0.000 0.500 0.500
In 0.500 0.744 0.000
In 0.500 0.744 0.500
In 0.500 0.256 0.000
In 0.500 0.256 0.500
In 0.115 0.744 0.750
In 0.885 0.744 0.250
In 0.885 0.256 0.250
In 0.115 0.256 0.750

=====

An optimized crystal structure of HfCo2Ru2, computed with GGA-PBE.

Properties
- crystal system = tetragonal
- calculated formation energy (meV per atom) = 52
- offset from the most stable computed form (meV per atom) = 74.6

Unit cell a=7.156 b=7.156 c=2.763 alpha=90.00 beta=90.00 gamma=90.00
Atoms (fractional coordinates):
Ru 0.374 0.874 0.000
Ru 0.874 0.626 0.000
Ru 0.626 0.126 0.000
Ru 0.126 0.374 0.000
Hf 0.000 0.000 0.000
Hf 0.500 0.500 0.000
Co 0.171 0.671 0.500
Co 0.671 0.829 0.500
Co 0.829 0.329 0.500
Co 0.329 0.171 0.500

=====

An optimized crystal structure of PtSIN2, computed with GGA-PBE.

Properties
- crystal system = tetragonal
- formation energy (no corrections) (kJ/mol of formula units) = 581
- offset from the most stable computed form (meV per atom) = 0.0

Unit cell a=3.798 b=3.798 c=8.572 alpha=90.00 beta=90.00 gamma=90.00
Atoms (fractional coordinates):
I 0.500 0.500 0.500
S 0.000 0.000 0.500
Pt 0.000 0.000 0.000
N 0.000 0.500 0.000
N 0.500 0.000 0.000

=====

An optimized crystal structure of LiGaCu2, computed with GGA-PBE.

Properties
- crystal system = cubic
- calculated formation energy (meV per atom) = -168

Unit cell a=4.168 b=4.168 c=4.167 alpha=59.99 beta=59.99 gamma=60.00
Atoms (fractional coordinates):
Li 0.500 0.500 0.500
Ga 0.750 0.750 0.750
Cu 0.000 0.000 0.000
Cu 0.250 0.250 0.250

=====

An optimized crystal structure of Sm6Sn2CO, computed with GGA-PBE.

Properties
- crystal system = cubic
- formation energy (no corrections) (kJ/mol of formula units) = -1000

Unit cell a=7.013 b=7.013 c=9.926 alpha=90.00 beta=90.00 gamma=90.00
Atoms (fractional coordinates):
Sm 0.500 0.250 0.252
Sm 0.500 0.250 0.748
Sm 0.000 0.750 0.248
Sm 0.000 0.750 0.752
Sm 0.251 0.001 0.500
Sm 0.749 0.001 0.500
Sm 0.251 0.498 0.500
Sm 0.749 0.498 0.500
Sm 0.751 0.502 0.000
Sm 0.249 0.502 0.000
Sm 0.249 0.999 0.000
Sm 0.751 0.999 0.000
Sn 0.500 0.750 0.250
Sn 0.000 0.250 0.750
Sn 0.500 0.750 0.750
Sn 0.000 0.250 0.250
C 0.500 0.250 0.500
C 0.000 0.750 0.000
O 0.000 0.750 0.500
O 0.500 0.250 0.000

=====

An optimized crystal structure of Pm2Ho3S6, computed with GGA-PBE.

Properties
- crystal system = monoclinic
- formation energy (no corrections) (kJ/mol of formula units) = -2198

Unit cell a=6.827 b=6.808 c=6.851 alpha=80.45 beta=70.67 gamma=59.90
Atoms (fractional coordinates):
Pm 0.165 0.669 0.500
Pm 0.835 0.331 0.500
Ho 0.000 0.000 0.000
Ho 0.337 0.327 0.000
Ho 0.663 0.673 0.000
S 0.413 0.668 0.762
S 0.744 0.000 0.757
S 0.081 0.332 0.762
S 0.256 0.000 0.243
S 0.587 0.332 0.238
S 0.919 0.668 0.238

=====

An optimized crystal structure of NdGa12Co6, computed with GGA-PBE.

Properties
- crystal system = trigonal
- calculated formation energy (meV per atom) = -253

Unit cell a=6.937 b=6.937 c=6.937 alpha=104.93 beta=104.93 gamma=104.93
Atoms (fractional coordinates):
Nd 0.000 0.000 0.000
Ga 0.882 0.118 0.500
Ga 0.852 0.583 0.583
Ga 0.583 0.583 0.852
Ga 0.417 0.148 0.417
Ga 0.417 0.417 0.148
Ga 0.148 0.417 0.417
Ga 0.118 0.500 0.882
Ga 0.500 0.882 0.118
Ga 0.118 0.882 0.500
Ga 0.882 0.500 0.118
Ga 0.500 0.118 0.882
Ga 0.583 0.852 0.583
Co 0.689 0.271 0.271
Co 0.271 0.271 0.689
Co 0.271 0.689 0.271
Co 0.729 0.729 0.311
Co 0.311 0.729 0.729
Co 0.729 0.311 0.729

=====

An optimized crystal structure of Co2NiOs, computed with GGA-PBE.

Properties
- crystal system = orthorhombic
- calculated formation energy (meV per atom) = 167
- offset from the most stable computed form (meV per atom) = 55.0

Unit cell a=3.946 b=2.539 c=4.900 alpha=74.94 beta=90.00 gamma=90.00
Atoms (fractional coordinates):
Co 0.000 0.047 0.030
Co 0.500 0.445 0.236
Ni 0.000 0.307 0.511
Os 0.500 0.700 0.723

=====

no.,calculated density (g/cm3)
1,5.165
2,6.377
3,5.922
4,4.082
5,6.512
6,5.696
7,5.137
8,7.963
9,7.860
10,4.195
11,3.784
12,10.217
13,8.912
14,11.699
15,5.130
16,6.611
17,7.943
18,6.242
19,7.581
20,12.849